VASP calculation (PBE) on crystalline ZnPtRh2 at its relaxed geometry.

Results
- calculated formation energy (eV per atom) = -0.2182
- SG = No. 8
- E_tot (eV for the cell shown) = -22.9

Lattice parameters (Å, degrees): 4.7218 4.7218 4.7239 99.92 99.92 34.00
Last column: nearest neighbours and their distance in Å.
Fractional positions:
1 Zn 0.0000 0.0000 0.0000  3 Pt 2.69-2.71, 7 Rh 2.70-2.78, 2 Zn 2.76
2 Pt 0.7505 0.7505 0.2371  3 Zn 2.69-2.71, 7 Rh 2.72-2.78, 2 Pt 2.76
3 Rh 0.2504 0.2504 0.7321  5 Rh 2.67-2.76, 4 Pt 2.72-2.76, 3 Zn 2.75-2.78
4 Rh 0.5032 0.5032 0.5091  5 Rh 2.67-2.76, 4 Zn 2.70-2.77, 3 Pt 2.77-2.78